# 1
## Sc2MnBr (PBE)

Data for crystalline Sc2MnBr at its relaxed geometry.

Unit cell a=3.2375 b=3.2375 c=7.4680 alpha=90.00 beta=90.00 gamma=90.00
Closest atoms and distances in Å follow each position.
Space group P4/mmm (No. 123)
Symmetry-distinct sites (fractional):
Sc1 0.0000 0.0000 0.1995 [2 per cell]  4 Mn 2.73, 1 Sc 2.98
Mn1 0.5000 0.5000 0.0000 [1 per cell]  8 Sc 2.73
Br1 0.5000 0.5000 0.5000 [1 per cell]  8 Sc 3.21, 4 Br 3.24

## Properties
The excess energy over the best structure of this formula in the dataset is 3.3 kJ per mole of atoms.

# 2
## Sc2MnBr8 (PBE)

Data for crystalline Sc2MnBr8 at its relaxed geometry.

Unit cell a=20.8216 b=3.5804 c=9.8391 alpha=90.00 beta=93.12 gamma=90.00
Closest atoms and distances in Å follow each position.
Space group C2/m (No. 12)
Symmetry-distinct sites (fractional):
Sc1 0.1637 0.0000 0.2307 [4 per cell]  6 Br 2.67-2.73
Mn1 0.0000 0.5000 0.5000 [2 per cell]  4 Br 2.58
Br1 0.0243 0.0000 0.6838 [4 per cell]  2 Mn 2.58
Br2 0.1007 0.5000 0.0724 [4 per cell]  2 Sc 2.67
Br3 0.1389 0.5000 0.4311 [4 per cell]  2 Sc 2.73, 1 Mn 3.01
Br4 0.2409 0.0000 0.7962 [4 per cell]  2 Sc 2.70

# 3
## ScMnBr2 (PBE)

Data for crystalline ScMnBr2 at its relaxed geometry.

Unit cell a=14.6919 b=3.6577 c=4.1868 alpha=90.00 beta=95.05 gamma=90.00
Closest atoms and distances in Å follow each position.
Space group C2/m (No. 12)
Symmetry-distinct sites (fractional):
Sc1 0.0000 0.0000 0.0000 [2 per cell]  4 Mn 2.78, 4 Br 2.79
Mn1 0.0000 0.5000 0.5000 [2 per cell]  2 Br 2.43
Br1 0.1358 0.5000 0.2085 [4 per cell]  1 Mn 2.43

## Properties
The excess energy over the best structure of this formula in the dataset is 13.8 kJ per mole of atoms.

# 4
## ScMnBr2 (PBE)

Data for crystalline ScMnBr2 at its relaxed geometry.

Unit cell a=3.4417 b=4.3414 c=6.0289 alpha=90.00 beta=90.00 gamma=90.00
Closest atoms and distances in Å follow each position.
Space group Pmmm (No. 47)
Symmetry-distinct sites (fractional):
Sc1 0.0000 0.0000 0.0000 [1 per cell]  4 Br 2.77
Mn1 0.5000 0.0000 0.5000 [1 per cell]  4 Br 2.77
Br1 0.0000 0.5000 0.5000 [1 per cell]  4 Mn 2.77
Br2 0.5000 0.5000 0.0000 [1 per cell]  4 Sc 2.77

## Properties
The excess energy over the best structure of this formula in the dataset is 40.4 kJ per mole of atoms.

Formation energy from raw total energies values (in eV/atom) by entry order: -0.362 -1.377 -0.530 -0.255.
Total moment values (in μB/f.u.) by entry order: 0.43 4.98 2.28 3.78.
VASP energy values (in eV/atom) by entry order: -6.238 -4.578 -5.241 -4.966.